Below is ZrSc3Sn2C2 after structural relaxation, with properties calculated at the PBE level.

Final energy   -7.47 eV per atom
Size of the total moment   0.00 μB per atom

Cell: 3.3738 3.3738 14.8565 Å, 90.00 90.00 120.00°
Last column: nearest neighbours and their distance in Å.
Space group P3m1 (No. 156)
Inequivalent atoms, fractional coordinates:
Zr: 0.0000 0.0000 0.0000 x1  3 C 2.30
Sc: 0.0000 0.0000 0.6641 x1  3 C 2.29
Sc: 0.6667 0.3333 0.1660 x1  3 C 2.31
Sc: 0.6667 0.3333 0.5016 x1  3 C 2.30
Sn: 0.0000 0.0000 0.3330 x1  6 Sc 3.15-3.17, 6 Sn 3.37
Sn: 0.6667 0.3333 0.8339 x1  3 Zr 3.14, 3 Sc 3.19, 6 Sn 3.37
C: 0.3333 0.6667 0.0825 x1  3 Zr 2.30, 3 Sc 2.31
C: 0.3333 0.6667 0.5836 x1  6 Sc 2.29-2.30